LaTlPb2 | GGA-PBEsol | optimized geometry

The structure in POSCAR format:
```
LaTlPb2
1.0
3.462 -4.697 0.000
3.462 4.697 0.000
0.000 0.000 3.594
La Tl Pb
1 1 2
Cartesian
0.000 0.000 0.000
3.462 0.000 0.000
1.731 2.348 1.797
1.731 -2.348 1.797
```

Summary:
- Fermi-level density of states (states/eV/cell) = 2.722
- ΔE_f (meV per atom) = -343